RbAsCl2 | Alexandria via LeMat-Bulk | meta-GGA SCAN | single point on PBEsol structure; E_form (uncorrected) = -0.545 eV/atom; space group = No. 225; raw total energy = -59.07 eV/f.u.
1.0
5.253 0.000 0.000
2.626 4.549 0.000
2.626 1.516 4.289
As Cl Rb
1 2 1
direct
0.000 0.000 0.000
0.750 0.750 0.750
0.250 0.250 0.250
0.500 0.500 0.500



ZrAgSb2 | Alexandria via LeMat-Bulk | meta-GGA SCAN | single point on PBEsol structure; E_form (uncorrected) = -0.158 eV/atom; space group = No. 65; raw total energy = -137.22 eV/f.u.
1.0
3.264 0.003 0.000
-0.759 3.175 0.000
0.000 0.000 8.611
Ag Zr Sb
1 1 2
direct
0.500 0.500 0.000
0.500 0.500 0.500
0.000 0.000 0.746
0.000 0.000 0.254



H6PbCBr3N | Alexandria via LeMat-Bulk | meta-GGA SCAN | single point on PBEsol structure; ΔE to the lowest computed polymorph = 0.145 kcal/mol of atoms; space group = No. 6; raw total energy = -180.82 eV/f.u.
1.0
-2.095 4.631 2.970
-4.988 -0.293 -3.061
-2.361 -3.602 4.191
N H C Br Pb
1 6 1 3 1
direct
0.139 0.000 0.052
0.817 0.154 0.023
0.917 0.000 0.781
0.230 0.144 0.001
0.817 0.846 0.023
0.230 0.856 0.001
0.141 0.000 0.225
0.906 0.000 0.964
0.420 0.000 0.530
0.435 0.500 0.981
0.960 0.500 0.428
0.467 0.500 0.486



Cd6Au7 | Alexandria via LeMat-Bulk | meta-GGA SCAN | single point on PBEsol structure; space group = No. 166; formation enthalpy at 0 K = -1.90 eV/f.u.; raw total energy = -668.49 eV/f.u.
1.0
-0.510 -0.277 -5.487
4.023 -2.247 -3.035
-2.924 -9.263 -2.035
Au Cd
7 6
direct
0.916 0.413 0.258
0.413 0.916 0.258
0.500 0.500 0.500
0.587 0.084 0.742
0.413 0.413 0.258
0.084 0.587 0.742
0.587 0.587 0.742
0.843 0.843 0.471
0.157 0.157 0.529
0.949 0.949 0.152
0.051 0.051 0.848
0.333 0.333 0.001
0.667 0.667 0.999



Al2IrRu | Alexandria via LeMat-Bulk | meta-GGA SCAN | single point on PBEsol structure; space group = No. 2; formation enthalpy at 0 K = -2.69 eV/f.u.; raw total energy = -124.12 eV/f.u.
1.0
-0.925 -2.662 0.036
1.967 0.774 -3.775
3.825 -1.295 2.774
Ir Al Ru
1 2 1
direct
0.500 0.000 0.000
0.250 0.501 0.252
0.750 0.499 0.748
0.000 0.000 0.500



BaCdH2W | Alexandria via LeMat-Bulk | meta-GGA SCAN | single point on PBEsol structure; space group = No. 123; raw total energy = -137.88 eV/f.u.
1.0
4.206 0.000 0.000
0.000 4.206 0.000
0.000 0.000 6.667
Cd H W Ba
1 2 1 1
direct
0.000 0.000 0.000
0.000 0.500 0.000
0.500 0.000 0.000
0.500 0.500 0.500
0.000 0.000 0.500



CdCu | Alexandria via LeMat-Bulk | meta-GGA SCAN | single point on PBEsol structure; space group = No. 191; formation enthalpy at 0 K = 0.12 eV/f.u.; raw total energy = -45.50 eV/f.u.
1.0
-1.146 -2.726 3.355
5.015 -1.173 0.759
-2.146 4.013 2.528
Cd Cu
3 3
direct
0.000 0.000 0.000
0.500 0.667 0.333
0.500 0.333 0.667
0.000 0.500 0.500
0.000 0.000 0.500
0.000 0.500 0.000



MgMnOs2 | Alexandria via LeMat-Bulk | meta-GGA SCAN | single point on PBEsol structure; space group = No. 25; formation enthalpy at 0 K = 0.21 eV/f.u.; raw total energy = -166.78 eV/f.u.
1.0
-1.392 -0.668 2.269
2.477 -2.873 0.674
3.096 3.347 2.887
Mg Os Mn
1 2 1
direct
0.000 0.000 0.507
0.000 0.000 0.009
0.500 0.500 0.229
0.500 0.500 0.755



TcAg2Hg | Alexandria via LeMat-Bulk | meta-GGA SCAN | single point on PBEsol structure; space group = No. 123; formation enthalpy at 0 K = 1.77 eV/f.u.; raw total energy = -164.19 eV/f.u.
1.0
2.731 0.000 0.000
0.000 2.731 0.000
0.000 0.000 8.957
Hg Ag Tc
1 2 1
direct
0.500 0.500 0.000
0.000 0.000 0.265
0.000 0.000 0.735
0.500 0.500 0.500



Cr2MoSe | Alexandria via LeMat-Bulk | meta-GGA SCAN | single point on PBEsol structure; E_form (uncorrected) = 0.206 eV/atom; space group = No. 47; raw total energy = -90.91 eV/f.u.
1.0
3.017 0.000 0.000
0.000 4.279 0.000
0.000 0.000 4.162
Mo Cr Se
1 2 1
direct
0.500 0.500 0.000
0.500 0.000 0.500
0.000 0.000 0.000
0.000 0.500 0.500



Mg2HgRh2 | Alexandria via LeMat-Bulk | meta-GGA SCAN | single point on PBEsol structure; space group = No. 127; formation enthalpy at 0 K = -1.90 eV/f.u.; raw total energy = -147.56 eV/f.u.
1.0
-2.654 1.221 -1.911
-4.493 -2.199 4.835
0.488 6.135 3.244
Rh Hg Mg
4 2 4
direct
0.000 0.136 0.364
0.000 0.864 0.636
0.000 0.636 0.136
0.000 0.364 0.864
0.000 0.000 0.000
0.000 0.500 0.500
0.500 0.339 0.161
0.500 0.839 0.339
0.500 0.161 0.661
0.500 0.661 0.839



MgCr4Au | Alexandria via LeMat-Bulk | meta-GGA SCAN | single point on PBEsol structure; space group = No. 216; formation enthalpy at 0 K = 1.85 eV/f.u.; raw total energy = -145.82 eV/f.u.
1.0
-4.810 0.137 -0.183
-2.544 -4.062 0.467
-2.584 -0.777 3.988
Cr Mg Au
4 1 1
direct
0.622 0.135 0.622
0.622 0.622 0.135
0.622 0.622 0.622
0.135 0.622 0.622
0.250 0.250 0.250
0.000 0.000 0.000